Here is crystalline KNiPt2 at its relaxed geometry from Alexandria. Energies are from PBEsol.

Raw total energy: -4.98 eV/atom

abc: 4.3769 6.5065 6.5065
angles: 24.11 90.00 90.00
Closest atoms and distances in Å follow each position.
Sites, in units of the cell vectors:
1 K 0.0000 0.0000 0.0000  2 K 2.72
2 Ni 0.5000 0.3480 0.3480  4 Pt 2.48-2.53, 2 Ni 2.72
3 Pt 0.0000 0.2477 0.2477  2 Ni 2.53, 6 Pt 2.70-2.72
4 Pt 0.5000 0.6851 0.6851  2 Ni 2.48, 6 Pt 2.70-2.72